Density functional theory data (GGA+U) for a relaxed LiFeF4 crystal.

Computed properties:
Polymorph energy (0 for the lowest one) ... 100 meV/atom

The structure in CIF format:
```
data_LiFeF4
_chemical_formula_sum 'Li4 Fe4 F16'
_space_group_name_H-M_alt 'I 41/a m d'
_space_group_IT_number 141
_cell_length_a 6.359
_cell_length_b 6.359
_cell_length_c 6.802
_cell_angle_alpha 90.00
_cell_angle_beta 90.00
_cell_angle_gamma 90.00
loop_
_space_group_symop_operation_xyz
'x,y,z'
'-x,-y,-z'
'-y+1/4,x+3/4,z+1/4'
'y+1/4,-x+3/4,-z+1/4'
'-x+1/2,-y,z+1/2'
'x+1/2,y,-z+1/2'
'y+1/4,-x+1/4,z+3/4'
'-y+1/4,x+1/4,-z+3/4'
'x,-y,-z'
'-x,y,z'
'-y+1/4,-x+1/4,-z+3/4'
'y+1/4,x+1/4,z+3/4'
'-x+1/2,y,-z+1/2'
'x+1/2,-y,z+1/2'
'y+1/4,x+3/4,-z+1/4'
'-y+1/4,-x+3/4,z+1/4'
'x+1/2,y+1/2,z+1/2'
'-x+1/2,-y+1/2,-z+1/2'
'-y+3/4,x+1/4,z+3/4'
'y+3/4,-x+1/4,-z+3/4'
'-x,-y+1/2,z'
'x,y+1/2,-z'
'y+3/4,-x+3/4,z+1/4'
'-y+3/4,x+3/4,-z+1/4'
'x+1/2,-y+1/2,-z+1/2'
'-x+1/2,y+1/2,z+1/2'
'-y+3/4,-x+3/4,-z+1/4'
'y+3/4,x+3/4,z+1/4'
'-x,y+1/2,-z'
'x,-y+1/2,z'
'y+3/4,x+1/4,-z+3/4'
'-y+3/4,-x+1/4,z+3/4'
loop_
_atom_site_label
_atom_site_fract_x
_atom_site_fract_y
_atom_site_fract_z
Li1 0.000 0.250 0.375
Fe1 0.000 0.250 0.875
F1 0.000 0.047 0.178
```